This record from Alexandria describes MnCu2Ru at its PBEsol-relaxed geometry. The functional is meta-GGA SCAN.

a b c (Å): 2.626 3.498 5.213
angles (deg): 90.00 90.00 90.00
Space group Pmm2 (No. 25)
Inequivalent atoms, fractional coordinates:
Mn  0.000  0.000  0.000
Cu  0.000  0.000  0.504
Cu  0.500  0.500  0.728
Ru  0.500  0.500  0.221

E_tot: -20.82 eV per atom